## USnW (PBE)

Data for a relaxed structure of USnW.

a b c (Å): 4.6765 4.6765 4.6765
angles (deg): 60.00 60.00 60.00
Last column: nearest neighbours and their distance in Å.
Fractional coordinates of all 3 atoms:
Sn1 0.2500 0.2500 0.2500  4 W 2.86
U1 0.7500 0.7500 0.7500  4 W 2.86
W1 0.0000 0.0000 0.0000  4 Sn 2.86, 4 U 2.86

Properties
Total energy, hartree per atom: -0.3218
Crystal system: cubic
Calculated volume, Å³ per atom: 24.11
E above lowest polymorph, kJ per mole of atoms: 0.00